A geometry-optimized Y3CrBr structure. Source: Alexandria, functional GGA-PBEsol. Values from VASP.

Quantum ESPRESSO input file:
```
&SYSTEM
  ibrav = 0, nat = 5, ntyp = 3
/
ATOMIC_SPECIES
Y 88.91 Y.upf
Cr 52.00 Cr.upf
Br 79.90 Br.upf
CELL_PARAMETERS angstrom
5.246 0.000 0.000
0.000 5.246 0.000
0.000 0.000 5.246
ATOMIC_POSITIONS angstrom
Y 0.000 0.000 2.623
Y 0.000 2.623 0.000
Y 2.623 0.000 0.000
Cr 2.623 2.623 2.623
Br 0.000 0.000 0.000
```

Formation energy (no corrections): 5.11 kcal/mol of atoms
Calculated density: 4.584 g/cm3